(1)
8
Lattice="4.212 0.000 0.000 2.106 3.648 0.000 2.106 1.216 9.240" Properties=species:S:1:pos:R:3 comment="PBE LaAl4Cu2Ir, relaxed" total_energy_ry_per_atom=-0.3735 n_ef_per_ev_fu=3.64 rho_g_cm3=6.6 pbc="T T T"
Al 2.106 1.216 5.537
Al 4.212 2.432 2.076
Al 4.212 2.432 7.164
Al 6.318 3.648 3.703
Ir 4.212 2.432 4.620
Cu 6.318 3.648 6.504
Cu 2.106 1.216 2.737
La 0.000 0.000 0.000

=====

(2)
4
Lattice="4.176 0.000 0.000 2.088 3.616 0.000 2.088 1.205 3.409" Properties=species:S:1:pos:R:3 comment="PBE LiAlCuIr, relaxed" total_energy_ry_per_atom=-0.3740 n_ef_per_ev_fu=1.88 rho_g_cm3=9.3 pbc="T T T"
Li 4.176 2.411 1.705
Cu 2.088 1.205 0.852
Ir 6.263 3.616 2.557
Al 0.000 0.000 0.000

=====

(3)
4
Lattice="-0.854 3.333 -2.620 -4.027 1.551 -0.284 -0.947 3.876 1.669" Properties=species:S:1:pos:R:3 comment="PBE MgAlCuIr, relaxed" total_energy_ry_per_atom=-0.3699 n_ef_per_ev_fu=2.49 rho_g_cm3=8.9 pbc="T T T"
Mg -2.914 4.380 -0.618
Ir -4.371 6.570 -0.926
Al 0.000 0.000 0.000
Cu -1.457 2.190 -0.309

=====

(4)
5
Lattice="-1.515 -4.269 -0.979 1.265 -1.358 3.960 -4.170 1.088 1.705" Properties=species:S:1:pos:R:3 comment="PBE NaAlCuIr2, relaxed" total_energy_ry_per_atom=-0.3311 n_ef_per_ev_fu=3.79 rho_g_cm3=8.8 pbc="T T T"
Cu 0.000 0.000 0.000
Al 0.633 -0.679 1.980
Na -2.209 -2.269 2.343
Ir -0.757 -2.134 -0.490
Ir -2.085 0.544 0.853

=====

(5)
20
Lattice="3.880 0.000 0.000 0.000 9.109 0.000 0.000 0.000 9.109" Properties=species:S:1:pos:R:3 comment="PBE Nb2Al5CuIr2, relaxed" total_energy_ry_per_atom=-0.4758 n_ef_per_ev_fu=4.34 rho_g_cm3=7.9 pbc="T T T"
Nb 0.000 2.927 7.481
Nb 0.000 1.628 2.927
Nb 0.000 7.481 6.183
Nb 0.000 6.183 1.628
Ir 0.000 1.098 5.652
Ir 0.000 5.652 8.011
Ir 0.000 3.457 1.098
Ir 0.000 8.011 3.457
Al 1.940 7.267 8.579
Al 1.940 4.025 2.713
Al 1.940 8.579 1.842
Al 1.940 0.530 7.267
Al 1.940 1.842 0.530
Al 1.940 4.555 0.000
Al 1.940 6.396 4.025
Al 1.940 5.084 6.396
Al 1.940 2.713 5.084
Al 1.940 0.000 4.555
Cu 0.000 0.000 0.000
Cu 0.000 4.555 4.555

=====

(6)
10
Lattice="4.221 0.000 0.000 0.000 4.221 0.000 0.000 0.000 10.308" Properties=species:S:1:pos:R:3 comment="PBE Nd2Al4Cu3Ir, relaxed" total_energy_ry_per_atom=-0.3728 n_ef_per_ev_fu=6.47 rho_g_cm3=7.0 pbc="T T T"
Al 0.000 0.000 0.000
Al 0.000 2.111 3.848
Al 2.111 0.000 6.460
Al 2.111 2.111 0.000
Cu 2.111 0.000 8.946
Cu 0.000 0.000 5.154
Cu 0.000 2.111 1.362
Ir 2.111 2.111 5.154
Nd 2.111 0.000 2.621
Nd 0.000 2.111 7.688

=====

(7)
8
Lattice="4.244 0.000 0.000 2.122 3.675 0.000 2.122 1.225 8.852" Properties=species:S:1:pos:R:3 comment="PBE NdAl4CuIr2, relaxed" total_energy_ry_per_atom=-0.4289 n_ef_per_ev_fu=5.31 rho_g_cm3=8.4 pbc="T T T"
Al 6.366 3.675 3.523
Al 4.244 2.450 1.929
Al 2.122 1.225 5.329
Al 4.244 2.450 6.923
Ir 2.122 1.225 2.722
Ir 6.366 3.675 6.129
Nd 0.000 0.000 0.000
Cu 4.244 2.450 4.426

=====

(8)
10
Lattice="4.200 0.000 0.000 0.000 4.200 0.000 0.000 0.000 10.302" Properties=species:S:1:pos:R:3 comment="PBE Pm2Al4Cu3Ir, relaxed" total_energy_ry_per_atom=-0.3731 n_ef_per_ev_fu=6.34 rho_g_cm3=7.1 pbc="T T T"
Ir 2.100 2.100 5.151
Al 0.000 0.000 0.000
Al 2.100 2.100 0.000
Al 2.100 0.000 6.465
Al 0.000 2.100 3.837
Cu 0.000 2.100 1.369
Cu 0.000 0.000 5.151
Cu 2.100 0.000 8.933
Pm 0.000 2.100 7.683
Pm 2.100 0.000 2.619

=====

(9)
8
Lattice="-0.280 0.539 4.161 -3.260 -1.609 2.114 3.481 -8.076 3.405" Properties=species:S:1:pos:R:3 comment="PBE PrAl4Cu2Ir, relaxed" total_energy_ry_per_atom=-0.3717 n_ef_per_ev_fu=3.16 rho_g_cm3=6.8 pbc="T T T"
Cu -0.244 -6.529 7.204
Cu 0.185 -2.617 2.476
Al -1.330 -2.420 4.474
Al 1.623 -4.998 2.882
Al 1.270 -6.726 5.207
Al -1.682 -4.148 6.799
Ir -0.030 -4.573 4.840
Pr 0.000 0.000 0.000

=====

(10)
10
Lattice="4.248 0.000 0.000 0.000 4.248 0.000 0.000 0.000 10.447" Properties=species:S:1:pos:R:3 comment="PBE Pr2Al4CuIr3, relaxed" total_energy_ry_per_atom=-0.4596 n_ef_per_ev_fu=6.53 rho_g_cm3=9.1 pbc="T T T"
Ir 0.000 2.124 1.403
Ir 0.000 0.000 5.223
Ir 2.124 0.000 9.044
Pr 2.124 0.000 2.647
Pr 0.000 2.124 7.800
Cu 2.124 2.124 5.223
Al 2.124 2.124 0.000
Al 2.124 0.000 6.504
Al 0.000 0.000 0.000
Al 0.000 2.124 3.943

=====

(11)
8
Lattice="-0.801 0.332 4.157 -4.005 0.351 1.369 -2.174 -8.652 2.442" Properties=species:S:1:pos:R:3 comment="PBE PrAl4CuIr2, relaxed" total_energy_ry_per_atom=-0.4290 n_ef_per_ev_fu=5.19 rho_g_cm3=8.3 pbc="T T T"
Ir -1.780 -2.530 2.028
Ir -5.200 -5.439 5.940
Cu -3.490 -3.984 3.984
Al -3.330 -1.496 3.816
Al -5.033 -2.849 5.765
Al -3.651 -6.472 4.152
Al -1.947 -5.120 2.203
Pr 0.000 0.000 0.000

=====

(12)
5
Lattice="4.316 0.000 0.000 0.000 4.440 0.000 0.000 0.000 4.316" Properties=species:S:1:pos:R:3 comment="PBE AlCu2IrRh, relaxed" total_energy_ry_per_atom=-0.3433 n_ef_per_ev_fu=4.74 rho_g_cm3=9.0 pbc="T T T"
Cu 0.000 0.000 2.158
Cu 2.158 0.000 0.000
Ir 0.000 2.220 0.000
Rh 2.158 2.220 2.158
Al 0.000 0.000 0.000